## PuHfFe2 (PBE)

Data for PuHfFe2 after structural relaxation.

Geometry as extended XYZ:
```
4
Lattice="3.1891 0.0000 0.0000 0.0000 3.1891 0.0000 0.0000 0.0000 6.5890" Properties=species:S:1:pos:R:3 pbc="T T T"
Pu 0.0000 0.0000 0.0000
Hf 0.0000 0.0000 3.2945
Fe 1.5945 1.5945 1.7262
Fe 1.5945 1.5945 4.8628
```

Values from the calculation:
Formation energy ... -0.25 eV per formula unit
Total magnetic moment ... 2.740 μB per formula unit
Total energy ... -10.37 eV/atom